Computed, not measured: an optimized crystal structure of InSnSN2 at the PBE-GGA level of DFT.

For the volume, the calculation gives 19.83 A^3/atom. The energy above the most stable polymorph in this dataset is 145 meV per atom. As for the formation energy (no corrections): 1154.9 meV/atom. For the total moment, the calculation gives 0.5919 μB/atom. Its total energy is -21.75 eV/cell.

It has space group P4/mmm (No. 123), with a = 4.298 Å, b = 4.298 Å, c = 5.367 Å, α = 90.00°, β = 90.00° and γ = 90.00°. The distinct sites, in fractional coordinates, are In at (0.000, 0.000, 0.000), Sn at (0.500, 0.500, 0.500), S at (0.000, 0.000, 0.500) and N at (0.000, 0.500, 0.000).